No. 1
Compound: ZnCdP2
Source: Alexandria via LeMat-Bulk
Functional: PBE-GGA
Structure: relaxed

abc: 6.5228 6.5228 6.5228
angles: 90.00 90.00 90.00
Space group F-43m (No. 216)
Symmetry-distinct sites (fractional):
Zn: 0.0000 0.0000 0.0000 (multiplicity 4)
Cd: 0.2500 0.2500 0.2500 (multiplicity 4)
P: 0.0000 0.0000 0.5000 (multiplicity 4)
P: 0.2500 0.2500 0.7500 (multiplicity 4)

Calculated values
calculated total energy: -2.7037 eV per atom
mass density: 5.74 g/cm³



No. 2
Compound: PrTmMg
Source: Alexandria via LeMat-Bulk
Functional: PBE-GGA
Structure: relaxed

abc: 3.7300 3.7300 12.9356
angles: 90.00 90.00 90.00
Space group I4mm (No. 107)
Symmetry-distinct sites (fractional):
Pr: 0.0000 0.0000 0.0000 (multiplicity 2)
Tm: 0.0000 0.0000 0.3166 (multiplicity 2)
Mg: 0.0000 0.0000 0.6671 (multiplicity 2)

Calculated values
calculated total energy: -3.6518 eV per atom
mass density: 6.17 g/cm³



No. 3
Compound: ZnS
Source: Alexandria via LeMat-Bulk
Functional: PBE-GGA
Structure: relaxed

abc: 3.8491 3.8491 31.4579
angles: 90.00 90.00 120.00
Space group P3m1 (No. 156)
Symmetry-distinct sites (fractional):
Zn: 0.0000 0.0000 0.0000 (multiplicity 1)
Zn: 0.0000 0.0000 0.2001 (multiplicity 1)
Zn: 0.0000 0.0000 0.4001 (multiplicity 1)
Zn: 0.0000 0.0000 0.7001 (multiplicity 1)
Zn: 0.3333 0.6667 0.1001 (multiplicity 1)
Zn: 0.3333 0.6667 0.5001 (multiplicity 1)
Zn: 0.3333 0.6667 0.8001 (multiplicity 1)
Zn: 0.6667 0.3333 0.3001 (multiplicity 1)
Zn: 0.6667 0.3333 0.6001 (multiplicity 1)
Zn: 0.6667 0.3333 0.9001 (multiplicity 1)
S: 0.0000 0.0000 0.0750 (multiplicity 1)
S: 0.0000 0.0000 0.2750 (multiplicity 1)
S: 0.0000 0.0000 0.4751 (multiplicity 1)
S: 0.0000 0.0000 0.7750 (multiplicity 1)
S: 0.3333 0.6667 0.1751 (multiplicity 1)
S: 0.3333 0.6667 0.5750 (multiplicity 1)
S: 0.3333 0.6667 0.8751 (multiplicity 1)
S: 0.6667 0.3333 0.3751 (multiplicity 1)
S: 0.6667 0.3333 0.6751 (multiplicity 1)
S: 0.6667 0.3333 0.9750 (multiplicity 1)

Calculated values
ΔE_f (raw): -807 meV per atom
mass density: 4.01 g/cm³



What did the third record say?
Compound: ZnS
Source: Alexandria via LeMat-Bulk
Functional: PBE-GGA
Structure: relaxed

abc: 3.8491 3.8491 31.4579
angles: 90.00 90.00 120.00
Space group P3m1 (No. 156)
Symmetry-distinct sites (fractional):
Zn: 0.0000 0.0000 0.0000 (multiplicity 1)
Zn: 0.0000 0.0000 0.2001 (multiplicity 1)
Zn: 0.0000 0.0000 0.4001 (multiplicity 1)
Zn: 0.0000 0.0000 0.7001 (multiplicity 1)
Zn: 0.3333 0.6667 0.1001 (multiplicity 1)
Zn: 0.3333 0.6667 0.5001 (multiplicity 1)
Zn: 0.3333 0.6667 0.8001 (multiplicity 1)
Zn: 0.6667 0.3333 0.3001 (multiplicity 1)
Zn: 0.6667 0.3333 0.6001 (multiplicity 1)
Zn: 0.6667 0.3333 0.9001 (multiplicity 1)
S: 0.0000 0.0000 0.0750 (multiplicity 1)
S: 0.0000 0.0000 0.2750 (multiplicity 1)
S: 0.0000 0.0000 0.4751 (multiplicity 1)
S: 0.0000 0.0000 0.7750 (multiplicity 1)
S: 0.3333 0.6667 0.1751 (multiplicity 1)
S: 0.3333 0.6667 0.5750 (multiplicity 1)
S: 0.3333 0.6667 0.8751 (multiplicity 1)
S: 0.6667 0.3333 0.3751 (multiplicity 1)
S: 0.6667 0.3333 0.6751 (multiplicity 1)
S: 0.6667 0.3333 0.9750 (multiplicity 1)

Calculated values
ΔE_f (raw): -807 meV per atom
mass density: 4.01 g/cm³